Record 1
Here is an optimized crystal structure of Zn2Ni2Ag from Alexandria. Energies are from PBE.

Results
* energy above the lowest structure with this stoichiometry: 0.178 eV/atom
* energy relative to the elements: 96 meV per atom
* total moment: 0.000 μB/atom

The structure in extended XYZ format:
```
10
Lattice="3.5061 0.0000 0.0000 0.0000 3.5061 0.0000 0.0000 0.0000 11.8256" Properties=species:S:1:pos:R:3 pbc="T T T"
Zn 0.0000 0.0000 1.2712
Zn 0.0000 0.0000 10.5544
Zn 1.7531 1.7531 4.6416
Zn 1.7531 1.7531 7.1840
Ni 0.0000 1.7531 2.9564
Ni 0.0000 1.7531 8.8692
Ni 1.7531 0.0000 2.9564
Ni 1.7531 0.0000 8.8692
Ag 0.0000 0.0000 5.9128
Ag 1.7531 1.7531 0.0000
```


Record 2
Here is an optimized crystal structure of Pm2AlNi from Alexandria. Energies are from PBE.

Results
* energy relative to the elements: -246 meV per atom
* total moment: 0.000 μB/atom

The structure in extended XYZ format:
```
8
Lattice="10.8583 0.0000 0.0000 0.0000 4.3869 0.0000 -1.9288 0.0000 4.1582" Properties=species:S:1:pos:R:3 pbc="T T T"
Pm 1.5160 0.0000 0.7066
Pm 1.9843 2.1934 3.4516
Pm 6.9451 2.1934 0.7066
Pm 7.4135 0.0000 3.4516
Al -0.9644 2.1934 2.0791
Al 4.4647 0.0000 2.0791
Ni 0.0000 2.1934 0.0000
Ni 5.4292 0.0000 0.0000
```


Please write out number 2 again, unchanged.
Here is an optimized crystal structure of Pm2AlNi from Alexandria. Energies are from PBE.

Results
* energy relative to the elements: -246 meV per atom
* total moment: 0.000 μB/atom

The structure in extended XYZ format:
```
8
Lattice="10.8583 0.0000 0.0000 0.0000 4.3869 0.0000 -1.9288 0.0000 4.1582" Properties=species:S:1:pos:R:3 pbc="T T T"
Pm 1.5160 0.0000 0.7066
Pm 1.9843 2.1934 3.4516
Pm 6.9451 2.1934 0.7066
Pm 7.4135 0.0000 3.4516
Al -0.9644 2.1934 2.0791
Al 4.4647 0.0000 2.0791
Ni 0.0000 2.1934 0.0000
Ni 5.4292 0.0000 0.0000
```


Question: Number 1 is which compound?
Answer: Zn2Ni2Ag


Question: Which formula does entry 1 have?
Answer: Zn2Ni2Ag